Entry from the Open Quantum Materials Database: crystalline CoAgO3 at its relaxed geometry (GGA+U).

Calculated values
VASP energy in eV per atom: -4.560

abc: 3.7449 3.7449 3.7449
angles: 90.00 90.00 90.00
Space group Pm-3m (No. 221)
Symmetry-distinct sites (fractional):
Co 0.0000 0.0000 0.0000 (multiplicity 1)
Ag 0.5000 0.5000 0.5000 (multiplicity 1)
O 0.0000 0.0000 0.5000 (multiplicity 3)